{
  "formula": "MoS2F5",
  "functional": "GGA+U",
  "state": "relaxed",
  "dft_energy_ev_per_cell": -37.48,
  "space_group": "No. 44",
  "lattice_angstrom": [[-1.8662, -1.7860, 3.3804], [2.6685, -5.9965, 0.9829], [3.4925, 1.5540, 5.4264]],
  "species": ["Mo", "S", "S", "F", "F", "F", "F", "F"],
  "frac_coords": [[0.9639, 0.0000, 0.0000], [0.6890, 0.5000, 0.5000], [0.2501, 0.5000, 0.5000], [0.8112, 0.0018, 0.3038], [0.1170, 0.6963, 0.9980], [0.8111, 0.3038, 0.0020], [0.1168, 0.9982, 0.6963], [0.4639, 0.9999, 0.9999]]
}